## Gd2Si3W2 (GGA-PBE)

Data for a relaxed structure of Gd2Si3W2.

a = 5.792 Å, b = 5.792 Å, c = 7.342 Å
α = 115.05°, β = 115.05°, γ = 36.65°
Element x y z (fractional)
Gd 0.117 0.117 0.275
Gd 0.883 0.883 0.725
Si 0.169 0.169 0.705
Si 0.500 0.500 0.500
Si 0.831 0.831 0.295
W 0.358 0.358 0.074
W 0.642 0.642 0.926

Calculated values
Magnetization: 0.002 μB per formula unit
VASP energy: -7.639 eV/atom